Record 1
TlCoOs2, optimized geometry, DFT PBE; ΔH_f (0 K) = 88.29 kJ/mol of atoms; M_tot = 0.519 μB/atom
1.0
2.8921 0.0000 0.0000
0.0000 4.6172 0.0000
0.0000 0.0000 4.6742
Os Co Tl
2 1 1
Direct
0.0000 0.0000 0.0000
0.5000 0.5000 0.0000
0.0000 0.5000 0.5000
0.5000 0.0000 0.5000

***

Record 2
TlCo2Os, optimized geometry, DFT PBE; ΔH_f (0 K) = 69.36 kJ/mol of atoms; M_tot = 0.960 μB/atom
1.0
-1.5109 3.7218 2.7495
-3.4104 -1.2706 3.2324
4.3713 -1.7786 -1.1924
Co Os Tl
2 1 1
Direct
0.2500 0.7500 0.5000
0.0000 0.0000 0.0000
0.5000 0.5000 0.0000
0.7500 0.2500 0.5000

***

Record 3
TlCoOs2, optimized geometry, DFT PBE; ΔH_f (0 K) = 67.77 kJ/mol of atoms; M_tot = 0.000 μB/atom
1.0
-2.3167 1.0056 5.1317
-5.0012 -2.0431 1.8779
5.3370 -0.7009 -1.9335
Os Tl Co
2 1 1
Direct
0.0364 0.0364 0.0000
0.4636 0.4636 0.0000
0.7500 0.2500 0.5000
0.2500 0.7500 0.5000

***

Record 4
TlCoOs2, optimized geometry, DFT PBE; ΔH_f (0 K) = 70.49 kJ/mol of atoms; M_tot = 0.275 μB/atom
1.0
-3.3658 -3.0444 -1.1727
-1.6632 -2.7131 -3.4417
2.3579 -4.2538 1.1482
Os Tl Co
2 1 1
Direct
0.7404 0.7404 0.8111
0.9975 0.9975 0.9835
0.5027 0.5027 0.4782
0.2593 0.2593 0.2272

***

Record 5
TlCoOs2, optimized geometry, DFT PBE; ΔH_f (0 K) = 82.74 kJ/mol of atoms; M_tot = 0.148 μB/atom
1.0
-2.2083 0.5044 1.7108
1.1298 -3.7750 2.5713
3.4242 0.0527 4.4044
Os Tl Co
2 1 1
Direct
0.0000 0.0000 0.0000
0.5000 0.5000 0.0000
0.5000 0.5000 0.5000
0.0000 0.0000 0.5000

***

Record 6
Tl2CoOs, optimized geometry, DFT PBE; ΔH_f (0 K) = 74.89 kJ/mol of atoms; M_tot = 0.491 μB/atom
1.0
9.6845 -0.0324 -0.0190
9.2132 2.9847 -0.0190
9.2132 1.4393 2.6148
Tl Os Co
2 1 1
Direct
0.0093 0.0093 0.0093
0.2378 0.2378 0.2378
0.7624 0.7624 0.7624
0.4906 0.4906 0.4906

***

Record 7
TlCo2Os, optimized geometry, DFT PBE; ΔH_f (0 K) = 91.48 kJ/mol of atoms; M_tot = 0.740 μB/atom
1.0
6.9422 0.0000 0.0000
0.0000 6.9422 0.0000
3.4711 3.4711 2.7295
Os Tl Co
2 2 4
Direct
0.5000 0.5000 0.0000
0.2500 0.7500 0.5000
0.0000 0.0000 0.0000
0.7500 0.2500 0.5000
0.5794 0.1250 0.2500
0.1706 0.6250 0.2500
0.3750 0.4206 0.7500
0.8750 0.8294 0.7500

***

Record 8
TlCo2Os, optimized geometry, DFT PBE; ΔH_f (0 K) = 65.29 kJ/mol of atoms; M_tot = 0.840 μB/atom
1.0
-2.6269 -4.1080 -1.8988
-0.6132 -4.2264 3.0238
-0.8620 5.1129 -0.7052
Co Os Tl
2 1 1
Direct
0.7573 0.2573 0.5000
0.9790 0.9790 0.0000
0.5217 0.5217 0.0000
0.2420 0.7420 0.5000

***

Record 9
TlCo2Os, optimized geometry, DFT PBE; ΔH_f (0 K) = 59.79 kJ/mol of atoms; M_tot = 0.117 μB/atom
1.0
-3.2321 1.7010 -1.8338
-1.6759 -1.8207 1.2651
-1.3710 2.2696 4.5216
Os Tl Co
1 1 2
Direct
0.0000 0.4735 0.4259
0.5000 0.7923 0.7920
0.5000 0.0485 0.2781
0.0000 0.1858 0.0040

***

Record 10
TlCo2Os, optimized geometry, DFT PBE; ΔH_f (0 K) = 80.30 kJ/mol of atoms; M_tot = 1.012 μB/atom
1.0
-2.5098 0.8647 -0.8834
0.4743 -2.7534 -0.1449
-3.2130 -0.9831 8.1657
Co Os Tl
2 1 1
Direct
0.5000 0.5000 0.2391
0.0000 0.0000 0.0332
0.0000 0.0000 0.4673
0.5000 0.5000 0.7604

***

Record 11
Tl2CoOs, optimized geometry, DFT PBE; ΔH_f (0 K) = 94.21 kJ/mol of atoms; M_tot = 0.295 μB/atom
1.0
-0.7563 -2.5996 -1.4119
2.6957 0.1555 1.4256
-3.8055 -2.9779 7.5210
Tl Os Co
2 1 1
Direct
0.0000 0.0000 0.4889
0.0000 0.0000 0.0111
0.5000 0.5000 0.7500
0.5000 0.5000 0.2500

***

Record 12
TlVCo2Os, optimized geometry, DFT PBE; ΔH_f (0 K) = 167.26 kJ/mol of atoms; M_tot = 0.372 μB/atom
1.0
-2.5314 -3.5846 -0.7967
1.1044 0.3262 -4.9764
3.5432 -2.6385 0.6134
V Co Tl Os
1 2 1 1
Direct
0.5000 0.5000 0.5000
0.0000 0.0000 0.5000
0.5000 0.0000 0.0000
0.0000 0.5000 0.0000
0.0000 0.0000 0.0000

***

Record 13
Tm8CoOs2, optimized geometry, DFT PBE; ΔH_f (0 K) = -15.65 kJ/mol of atoms; M_tot = 0.000 μB/atom
1.0
-5.0180 2.7367 -0.2758
0.0266 -3.4646 -6.5660
-1.3148 -4.6983 5.5959
Co Tm Os
1 8 2
Direct
0.1377 0.9954 0.9954
0.9916 0.7893 0.2128
0.9916 0.2128 0.7893
0.5822 0.0813 0.3416
0.5822 0.3416 0.0813
0.3846 0.6721 0.9301
0.1797 0.3588 0.3588
0.7973 0.6403 0.6403
0.3846 0.9301 0.6721
0.4840 0.3176 0.6946
0.4840 0.6946 0.3176

***

Record 14
Tm8Co2Os, optimized geometry, DFT PBE; ΔH_f (0 K) = -18.31 kJ/mol of atoms; M_tot = 0.000 μB/atom
1.0
4.8541 0.0000 0.0000
0.0000 6.6104 0.1211
-2.4270 -2.6883 7.9392
Co Tm Os
2 8 1
Direct
0.1873 0.6992 0.3745
0.8127 0.3008 0.6255
0.2010 0.3187 0.4021
0.6712 0.9715 0.3425
0.4048 0.5494 0.8095
0.5952 0.4506 0.1905
0.7990 0.6813 0.5979
0.0349 0.7955 0.0699
0.9651 0.2045 0.9301
0.3288 0.0285 0.6575
0.5000 0.0000 0.0000

***

Record 15
Tm6Co2Os, optimized geometry, DFT PBE; ΔH_f (0 K) = -23.15 kJ/mol of atoms; M_tot = 0.000 μB/atom
1.0
7.5549 0.1110 -2.7150
-3.9498 6.5718 -2.3813
-0.0447 -0.1110 8.0278
Tm Os Co
12 2 4
Direct
0.1856 0.2571 0.4427
0.9137 0.7368 0.1769
0.8144 0.2571 0.0715
0.4400 0.2632 0.1769
0.6891 0.0179 0.3288
0.3109 0.6397 0.3288
0.5600 0.7368 0.8231
0.6891 0.3603 0.6712
0.3109 0.9821 0.6712
0.8144 0.7429 0.5573
0.0863 0.2632 0.8231
0.1856 0.7429 0.9285
0.0000 0.5000 0.5000
0.0000 0.0000 0.0000
0.5000 0.3854 0.8854
0.6614 0.0000 0.6614
0.5000 0.6146 0.1146
0.3386 0.0000 0.3386

***

Record 16
Tm8Co2Os, optimized geometry, DFT PBE; ΔH_f (0 K) = -11.90 kJ/mol of atoms; M_tot = 0.000 μB/atom
1.0
5.6622 0.0820 -0.9348
-1.8403 6.5326 -2.7844
-0.0731 -0.1419 7.3341
Tm Os Co
8 1 2
Direct
0.3914 0.6713 0.9297
0.3914 0.9297 0.6713
0.9886 0.7838 0.2172
0.5742 0.0791 0.3387
0.1737 0.3618 0.3618
0.5742 0.3387 0.0791
0.9886 0.2172 0.7838
0.8051 0.6409 0.6409
0.1330 0.9986 0.9986
0.4898 0.6955 0.3171
0.4898 0.3171 0.6955

***

Record 17
Tm4CoOs, optimized geometry, DFT PBE; ΔH_f (0 K) = -19.49 kJ/mol of atoms; M_tot = 0.000 μB/atom
1.0
-5.2318 2.3414 -1.4978
-2.3377 -1.6348 5.6098
4.2781 5.4996 3.3854
Tm Os Co
8 2 2
Direct
0.9941 0.0006 0.7276
0.0059 0.9994 0.2724
0.5828 0.2500 0.9077
0.0059 0.5006 0.2724
0.5431 0.2500 0.3743
0.9941 0.4994 0.7276
0.4569 0.7500 0.6257
0.4172 0.7500 0.0923
0.1884 0.2500 0.0417
0.8116 0.7500 0.9583
0.7391 0.7500 0.4273
0.2609 0.2500 0.5727

***

Record 18
Tm5CoOs, optimized geometry, DFT PBE; ΔH_f (0 K) = -13.82 kJ/mol of atoms; M_tot = 0.000 μB/atom
1.0
-5.2074 1.7585 -6.2167
-0.9388 -7.7616 2.7807
-8.6936 -2.8326 1.1272
Co Tm Os
2 10 2
Direct
0.5000 0.5000 0.5000
0.0000 0.0000 0.0000
0.4454 0.2904 0.8600
0.5546 0.7096 0.1400
0.3002 0.6041 0.9410
0.6998 0.3959 0.0590
0.2096 0.0546 0.6400
0.1041 0.8002 0.4410
0.7904 0.9454 0.3600
0.8959 0.1998 0.5590
0.8941 0.6059 0.2500
0.1059 0.3941 0.7500
0.7494 0.7506 0.7500
0.2506 0.2494 0.2500

***

Record 19
Tm8CoOs2, optimized geometry, DFT PBE; ΔH_f (0 K) = -21.43 kJ/mol of atoms; M_tot = 0.000 μB/atom
1.0
4.6879 0.0000 0.0000
0.0000 6.8121 0.1410
-2.3440 -2.7504 8.1297
Tm Os Co
8 2 1
Direct
0.2061 0.3117 0.4122
0.4031 0.5429 0.8061
0.3336 0.0388 0.6672
0.6664 0.9612 0.3328
0.7939 0.6883 0.5878
0.9706 0.2046 0.9411
0.0294 0.7954 0.0589
0.5969 0.4571 0.1939
0.8169 0.3006 0.6338
0.1831 0.6994 0.3662
0.5000 0.0000 0.0000

***

Record 20
Tm4CoOs, optimized geometry, DFT PBE; ΔH_f (0 K) = -26.70 kJ/mol of atoms; M_tot = 0.000 μB/atom
1.0
6.0303 0.1542 0.0000
-1.3648 7.2273 0.0000
-2.3328 -3.6907 6.3471
Tm Os Co
8 2 2
Direct
0.6372 0.3633 0.1208
0.7876 0.6918 0.6421
0.6454 0.0497 0.3579
0.3546 0.9503 0.6421
0.2124 0.3082 0.3579
0.9836 0.7574 0.1208
0.0164 0.2426 0.8792
0.3628 0.6367 0.8792
0.6153 0.3653 0.7306
0.3847 0.6347 0.2694
0.2491 0.9991 0.9983
0.7509 0.0009 0.0017